VASP calculation (GGA-PBE) on an optimized crystal structure of Ac2CoBi. Values from VASP.

Calculated values
E_tot (eV per formula unit): -19.764
Energy relative to the elements (eV per atom): -0.1401
Magnetic moment (Bohr magnetons per cell): 1.10
Symmetry: P4/mmm (123)
Polymorph energy (0 for the lowest one) (eV/atom): 0.000

```
&SYSTEM
  ibrav = 0, nat = 4, ntyp = 3
/
ATOMIC_SPECIES
Co 58.93 Co.upf
Ac 227.00 Ac.upf
Bi 208.98 Bi.upf
CELL_PARAMETERS angstrom
4.206 0.000 0.000
0.000 5.502 0.000
0.000 0.000 5.502
ATOMIC_POSITIONS angstrom
Co 2.103 2.751 2.751
Ac 0.000 2.751 0.000
Ac 0.000 0.000 2.751
Bi 2.103 0.000 0.000
```

VASP calculation (GGA-PBE) on an optimized crystal structure of AcCoCuBi. Values from VASP.

Calculated values
E_tot (eV per formula unit): -18.951
Energy relative to the elements (eV per atom): 0.0600
Magnetic moment (Bohr magnetons per cell): 0.78
Symmetry: F-43m (216)

```
&SYSTEM
  ibrav = 0, nat = 4, ntyp = 4
/
ATOMIC_SPECIES
Ac 227.00 Ac.upf
Co 58.93 Co.upf
Cu 63.55 Cu.upf
Bi 208.98 Bi.upf
CELL_PARAMETERS angstrom
-1.848 -1.085 4.529
2.821 -2.456 3.334
1.736 2.383 4.051
ATOMIC_POSITIONS angstrom
Ac 0.677 -0.289 2.979
Co 0.000 0.000 0.000
Cu 1.355 -0.579 5.957
Bi 2.032 -0.868 8.936
```